The following is a DFT calculation (PBE) of a relaxed structure of CoPOs.

Lattice parameters (Å, degrees): 2.7978 3.5265 7.6393 90.00 90.00 90.00
Closest atoms and distances in Å follow each position.
Fractional positions:
Co 0.5000 0.0000 0.0969  3 P 2.22-2.47
Co 0.5000 0.5000 0.5969  3 P 2.22-2.47
P 0.5000 0.0000 0.4203  3 Co 2.22-2.47, 4 Os 2.42
P 0.5000 0.5000 0.9203  3 Co 2.22-2.47, 4 Os 2.42
Os 0.0000 0.0000 0.8050  4 P 2.42, 2 Co 2.63
Os 0.0000 0.5000 0.3050  4 P 2.42, 2 Co 2.63

Properties
Density of states at the Fermi level (states/eV per cell): 6.06
Formation enthalpy at 0 K (eV/atom): 0.032
Energy relative to the lowest polymorph listed for this composition (meV/atom): 250
E (eV/f.u.): -23.65
Space-group type: Amm2, No. 38

=====

The following is a DFT calculation (PBE) of a relaxed structure of Ac2AlSn.

Lattice parameters (Å, degrees): 4.4979 5.3812 5.3812 90.00 90.00 90.00
Closest atoms and distances in Å follow each position.
Fractional positions:
Ac 0.0000 0.0000 0.5000  4 Sn 3.51, 4 Al 3.51, 4 Ac 3.81
Ac 0.0000 0.5000 0.0000  4 Sn 3.51, 4 Al 3.51, 4 Ac 3.81
Sn 0.5000 0.5000 0.5000  8 Ac 3.51, 4 Al 3.81
Al 0.5000 0.0000 0.0000  8 Ac 3.51, 4 Sn 3.81

Properties
Density of states at the Fermi level (states/eV per cell): 2.51
Formation enthalpy at 0 K (eV/atom): -0.406
E (eV/f.u.): -17.59
Space-group type: P4/mmm, No. 123

=====

The following is a DFT calculation (PBE) of a relaxed structure of Ba2HoThO6.

Lattice parameters (Å, degrees): 6.3015 6.3059 8.8985 90.00 90.18 90.00
Closest atoms and distances in Å follow each position.
Fractional positions:
Ba 0.0088 0.9759 0.2492  6 O 2.73-2.98
Ba 0.5088 0.5241 0.7492  6 O 2.73-2.98
Ba 0.9912 0.0241 0.7508  6 O 2.73-2.98
Ba 0.4912 0.4759 0.2508  6 O 2.73-2.98
Ho 0.5000 0.0000 0.5000  6 O 2.26-2.27
Ho 0.0000 0.5000 0.0000  6 O 2.26-2.27
Th 0.5000 0.0000 0.0000  6 O 2.29
Th 0.0000 0.5000 0.5000  6 O 2.29
O 0.2753 0.7217 0.0432  1 Ho 2.26, 1 Th 2.29
O 0.7753 0.7783 0.5432  1 Ho 2.26, 1 Th 2.29
O 0.7247 0.2783 0.9568  1 Ho 2.26, 1 Th 2.29
O 0.2247 0.2217 0.4568  1 Ho 2.26, 1 Th 2.29
O 0.2795 0.7234 0.4577  1 Ho 2.26, 1 Th 2.29
O 0.7795 0.7766 0.9577  1 Ho 2.26, 1 Th 2.29
O 0.7205 0.2766 0.5423  1 Ho 2.26, 1 Th 2.29
O 0.2205 0.2234 0.0423  1 Ho 2.26, 1 Th 2.29
O 0.9228 0.5186 0.2483  1 Ho 2.27, 1 Th 2.29
O 0.4228 0.9814 0.7483  1 Ho 2.27, 1 Th 2.29
O 0.0772 0.4814 0.7517  1 Ho 2.27, 1 Th 2.29
O 0.5772 0.0186 0.2517  1 Ho 2.27, 1 Th 2.29

Properties
Density of states at the Fermi level (states/eV per cell): 15.11
E_form (uncorrected) (kJ/mol of formula units): -2953
E (eV/f.u.): -76.20
Space-group type: P2_1/c, No. 14

=====

The following is a DFT calculation (PBE) of a relaxed structure of PbAu2IBr.

Lattice parameters (Å, degrees): 5.3408 6.4792 5.3408 90.00 90.00 90.00
Closest atoms and distances in Å follow each position.
Fractional positions:
Pb 0.0000 0.5000 0.0000  2 I 3.24
I 0.0000 0.0000 0.0000  4 Au 2.67
Au 0.0000 0.0000 0.5000  2 I 2.67
Au 0.5000 0.0000 0.0000  2 I 2.67
Br 0.5000 0.5000 0.5000  4 Pb 3.78, 8 Au 4.20

Properties
Density of states at the Fermi level (states/eV per cell): 4.89
E_form (uncorrected) (kJ/mol of formula units): 209
E (eV/f.u.): -11.32
Space-group type: P4/mmm, No. 123